Record 1
Compound: BaMgCuCl2
Source: Alexandria via LeMat-Bulk
Functional: GGA-PBE
Structure: optimized geometry

density of states at the Fermi level	4.451	states/eV/cell
VASP energy	-2.8040	eV per atom
SG	P4/mmm
raw formation energy	-543	meV/atom

a b c (Å): 5.8383 5.8383 6.4787
angles (deg): 90.00 90.00 90.00
Element x y z (fractional)
Ba1 0.0000 0.0000 0.0000
Mg1 0.5000 0.5000 0.5000
Cu1 0.0000 0.0000 0.5000
Cl1 0.0000 0.5000 0.0000
Cl2 0.5000 0.0000 0.0000


Record 2
Compound: BaMgCu2Cl8
Source: Alexandria via LeMat-Bulk
Functional: GGA-PBE
Structure: optimized geometry

density of states at the Fermi level	11.428	states/eV/cell
VASP energy	-3.4527	eV per atom
SG	P-3
raw formation energy	-1246	meV/atom

a b c (Å): 6.3658 6.3658 8.5912
angles (deg): 90.00 90.00 120.00
Element x y z (fractional)
Ba1 0.0000 0.0000 0.0000
Mg1 0.0000 0.0000 0.5000
Cu1 0.3333 0.6667 0.7251
Cu2 0.6667 0.3333 0.2749
Cl1 0.0078 0.6948 0.3194
Cl2 0.3052 0.3130 0.3194
Cl3 0.3130 0.0078 0.6806
Cl4 0.3333 0.6667 0.9869
Cl5 0.6667 0.3333 0.0131
Cl6 0.6870 0.9922 0.3194
Cl7 0.6948 0.6870 0.6806
Cl8 0.9922 0.3052 0.6806